# 1
Computed, not measured: Zr2RhSe after structural relaxation at the GGA-PBE level of DFT.

Properties
Formation energy without anion corrections (eV/atom): -0.745
Magnetic moment (μB per atom): 0.000

The structure in POSCAR format:
```
Zr2RhSe
1.0
4.353 0.000 0.000
0.000 5.158 0.000
0.000 0.000 3.352
Rh Zr Se
1 2 1
Direct
0.500 0.000 0.500 Rh
0.500 0.500 0.000 Zr
0.000 0.000 0.000 Zr
0.000 0.500 0.500 Se
```

# 2
Computed, not measured: Ru2PtCl after structural relaxation at the GGA-PBE level of DFT.

Properties
Formation energy without anion corrections (eV/atom): 0.770
Magnetic moment (μB per atom): 0.000
Energy above the most stable polymorph in this dataset (meV per atom): 483

The structure in POSCAR format:
```
Ru2PtCl
1.0
5.259 0.007 -0.005
2.362 4.699 0.005
-3.114 -3.482 2.417
Cl Pt Ru
1 1 2
Direct
0.750 0.250 0.500 Cl
0.250 0.750 0.500 Pt
0.977 0.977 0.000 Ru
0.523 0.523 0.000 Ru
```

# 3
Computed, not measured: TlZnSbS3 after structural relaxation at the GGA-PBE level of DFT.

Properties
Formation energy without anion corrections (eV/atom): -0.453
Magnetic moment (μB per atom): 0.000

The structure in POSCAR format:
```
TlZnSbS3
1.0
3.956 0.000 0.000
0.000 9.076 1.382
0.000 -2.960 8.864
S Zn Tl Sb
6 2 2 2
Direct
0.250 0.159 0.849 S
0.250 0.828 0.516 S
0.750 0.409 0.120 S
0.750 0.841 0.151 S
0.750 0.172 0.484 S
0.250 0.591 0.880 S
0.250 0.095 0.593 Zn
0.750 0.905 0.407 Zn
0.750 0.840 0.797 Tl
0.250 0.160 0.203 Tl
0.250 0.640 0.148 Sb
0.750 0.360 0.852 Sb
```

# 4
Computed, not measured: Y2In3Au4 after structural relaxation at the GGA-PBE level of DFT.

Properties
Magnetic moment (μB per atom): 0.000
Energy above the most stable polymorph in this dataset (meV per atom): 0
E_form (eV per atom): -0.5765

The structure in POSCAR format:
```
Y2In3Au4
1.0
-0.145 0.530 -4.902
-1.795 -3.621 -2.819
-8.660 3.822 0.668
Au In Y
4 3 2
Direct
0.001 0.997 0.662 Au
0.999 0.003 0.338 Au
0.333 0.334 0.099 Au
0.667 0.666 0.901 Au
0.668 0.665 0.580 In
0.332 0.335 0.420 In
0.000 0.000 0.000 In
0.334 0.332 0.784 Y
0.666 0.668 0.216 Y
```

Ordered DOS(E_F) results: 0.8313, 1.3158, 0.0000, 0.3298; unit states/eV per atom.